GGA-PBE SbAs2O8, optimized geometry; DFT total energy = -5.75 eV/atom; space group = C2/m (12); raw formation energy = -919 meV/atom
1.0
4.046 -4.716 0.000
4.046 4.716 0.000
-0.235 0.000 4.920
Sb As O
1 2 8
direct
0.000 0.000 0.000
0.239 0.239 0.606
0.761 0.761 0.394
0.010 0.738 0.233
0.204 0.204 0.259
0.262 0.990 0.767
0.445 0.445 0.692
0.555 0.555 0.308
0.738 0.010 0.233
0.796 0.796 0.741
0.990 0.262 0.767